(1)
The following is a PBE calculation of K3Sc3TiO8 after structural relaxation, from Alexandria via LeMat-Bulk.

Lattice parameters (Å, degrees): 6.338 6.339 7.239 115.98 90.00 120.00
Fractional coordinates of all 15 atoms:
K  0.000  0.000  0.000
K  0.000  0.500  0.000
K  0.500  0.500  0.000
Sc  0.500  0.000  0.500
Sc  0.500  0.500  0.500
Sc  0.000  0.500  0.500
Ti  0.000  0.000  0.500
O  0.276  0.552  0.327
O  0.724  0.448  0.673
O  0.787  0.574  0.332
O  0.213  0.426  0.668
O  0.787  0.044  0.332
O  0.213  0.956  0.668
O  0.257  0.044  0.332
O  0.743  0.956  0.668

Computed properties:
For the uncorrected formation energy, the calculation gives -2.85 eV/atom.

=====

(2)
The following is a PBE calculation of K2Sc2TiO6 after structural relaxation, from Alexandria via LeMat-Bulk.

Lattice parameters (Å, degrees): 5.424 5.424 6.537 97.96 97.96 119.71
Fractional coordinates of all 11 atoms:
K  0.833  0.167  0.000
K  0.167  0.833  0.000
Sc  0.334  0.666  0.500
Sc  0.666  0.334  0.500
Ti  0.000  0.000  0.500
O  0.743  0.743  0.667
O  0.052  0.372  0.668
O  0.257  0.257  0.333
O  0.372  0.052  0.668
O  0.948  0.628  0.332
O  0.628  0.948  0.332

Computed properties:
For the uncorrected formation energy, the calculation gives -2.89 eV/atom.

=====

(3)
The following is a PBE calculation of K2ScTlO4 after structural relaxation, from Alexandria via LeMat-Bulk.

Lattice parameters (Å, degrees): 6.002 6.001 6.035 119.85 119.85 89.95
Fractional coordinates of all 8 atoms:
K  0.486  0.986  0.972
K  0.236  0.236  0.472
Sc  0.986  0.486  0.972
Tl  0.736  0.736  0.472
O  0.702  0.599  0.730
O  0.872  0.443  0.213
O  0.340  0.770  0.213
O  0.028  0.131  0.730

Computed properties:
For the uncorrected formation energy, the calculation gives -1.85 eV/atom.

=====

(4)
The following is a PBE calculation of K3Tm2ScO6 after structural relaxation, from Alexandria via LeMat-Bulk.

Lattice parameters (Å, degrees): 5.826 5.826 6.512 98.57 98.57 120.00
Fractional coordinates of all 12 atoms:
K  0.165  0.835  0.500
K  0.835  0.165  0.500
K  0.500  0.500  0.500
Tm  0.333  0.667  0.000
Tm  0.667  0.333  0.000
Sc  0.000  0.000  0.000
O  0.940  0.616  0.819
O  0.737  0.737  0.181
O  0.060  0.384  0.181
O  0.616  0.940  0.819
O  0.263  0.263  0.819
O  0.384  0.060  0.181

Computed properties:
For the uncorrected formation energy, the calculation gives -2.79 eV/atom.

=====

(5)
The following is a PBE calculation of K3TmSc2O6 after structural relaxation, from Alexandria via LeMat-Bulk.

Lattice parameters (Å, degrees): 5.725 5.725 6.478 98.47 98.47 120.00
Fractional coordinates of all 12 atoms:
K  0.168  0.832  0.500
K  0.832  0.168  0.500
K  0.500  0.500  0.500
Tm  0.000  0.000  0.000
Sc  0.333  0.667  0.000
Sc  0.667  0.333  0.000
O  0.940  0.597  0.821
O  0.716  0.716  0.179
O  0.060  0.403  0.179
O  0.597  0.940  0.821
O  0.284  0.284  0.821
O  0.403  0.060  0.179

Computed properties:
For the uncorrected formation energy, the calculation gives -2.77 eV/atom.

=====

(6)
The following is a PBE calculation of K2Sc3UO8 after structural relaxation, from Alexandria via LeMat-Bulk.

Lattice parameters (Å, degrees): 6.746 6.746 7.473 63.17 63.17 60.00
Fractional coordinates of all 14 atoms:
K  0.124  0.124  0.627
K  0.486  0.486  0.541
Sc  0.464  0.009  0.064
Sc  0.009  0.464  0.064
Sc  0.464  0.464  0.064
U  0.946  0.946  0.163
O  0.257  0.257  0.229
O  0.846  0.846  0.462
O  0.200  0.200  0.914
O  0.686  0.200  0.914
O  0.200  0.686  0.914
O  0.747  0.318  0.189
O  0.318  0.747  0.189
O  0.747  0.747  0.189

Computed properties:
For the uncorrected formation energy, the calculation gives -2.85 eV/atom.

=====

(7)
The following is a PBE calculation of K3ScU2O9 after structural relaxation, from Alexandria via LeMat-Bulk.

Lattice parameters (Å, degrees): 5.986 5.986 7.339 90.00 90.00 120.00
Fractional coordinates of all 15 atoms:
K  0.333  0.667  0.661
K  0.000  0.000  0.000
K  0.667  0.333  0.339
Sc  0.000  0.000  0.500
U  0.333  0.667  0.176
U  0.667  0.333  0.824
O  0.831  0.169  0.669
O  0.831  0.661  0.669
O  0.339  0.169  0.669
O  0.661  0.831  0.331
O  0.169  0.339  0.331
O  0.169  0.831  0.331
O  0.500  0.000  0.000
O  0.000  0.500  0.000
O  0.500  0.500  0.000

Computed properties:
For the uncorrected formation energy, the calculation gives -2.88 eV/atom.